Density functional theory data (GGA-PBEsol) for MgFeSe2N after structural relaxation.

Output
- DOS(E_F): 1.4996 states/eV/atom
- Total magnetization: 1.126 μB/atom
- Raw total energy: -4.3740 eV/atom
- SG: P4/mmm

```
data_MgFeSe2N
_chemical_formula_sum 'Mg1 Fe1 Se2 N1'
_space_group_name_H-M_alt 'P 1'
_space_group_IT_number 1
_space_group_name_Hall 'P 1'
_cell_length_a 5.0067
_cell_length_b 5.0067
_cell_length_c 3.8140
_cell_angle_alpha 90.00
_cell_angle_beta 90.00
_cell_angle_gamma 90.00
loop_
_atom_site_label
_atom_site_fract_x
_atom_site_fract_y
_atom_site_fract_z
_atom_site_occupancy
Mg1 0.0000 0.0000 0.0000 1
Fe1 0.5000 0.5000 0.5000 1
Se1 0.0000 0.5000 0.0000 1
Se2 0.5000 0.0000 0.0000 1
N1 0.0000 0.0000 0.5000 1
```